Here is a geometry-optimized Ni2HW structure from Alexandria. Energies are from PBE.

```
Ni2HW
1.0
0.000 2.838 2.838
2.838 0.000 2.838
2.838 2.838 0.000
Ni H W
2 1 1
Direct
0.250 0.250 0.250 Ni
0.750 0.750 0.750 Ni
0.000 0.000 0.000 H
0.500 0.500 0.500 W
```

Output
E above lowest polymorph = 2.94 eV/f.u.
D(E_F) = 5.3 states/eV/cell